First-principles (PBE with a Hubbard U) data for Li4Mn5Cr2O12 after structural relaxation, as listed in the Alexandria database.

Unit cell a=5.1082 b=9.0869 c=10.1348 alpha=90.00 beta=100.52 gamma=90.00
Space group P2_1 (No. 4)
One atom of each set of equivalent atoms:
1 Li 0.0045 0.0000 0.2368 [2 per cell]
2 Li 0.0083 0.8468 0.7685 [2 per cell]
3 Li 0.2606 0.0009 0.9970 [2 per cell]
4 Li 0.4962 0.8300 0.2386 [2 per cell]
5 Mn 0.0071 0.1536 0.7613 [2 per cell]
6 Mn 0.2484 0.3445 0.0018 [2 per cell]
7 Mn 0.2495 0.8294 0.4975 [2 per cell]
8 Mn 0.2526 0.4943 0.5039 [2 per cell]
9 Mn 0.4986 0.1698 0.2397 [2 per cell]
10 Cr 0.2515 0.1607 0.5029 [2 per cell]
11 Cr 0.2508 0.6710 0.0033 [2 per cell]
12 O 0.1075 0.8300 0.1151 [2 per cell]
13 O 0.1079 0.3123 0.6166 [2 per cell]
14 O 0.1077 0.9889 0.6055 [2 per cell]
15 O 0.1154 0.6463 0.6156 [2 per cell]
16 O 0.1172 0.1903 0.1155 [2 per cell]
17 O 0.1200 0.5032 0.1088 [2 per cell]
18 O 0.3582 0.5040 0.8880 [2 per cell]
19 O 0.3756 0.1920 0.8910 [2 per cell]
20 O 0.3775 0.6804 0.3865 [2 per cell]
21 O 0.3787 0.3284 0.3986 [2 per cell]
22 O 0.3920 0.0109 0.3820 [2 per cell]
23 O 0.3920 0.8262 0.8911 [2 per cell]

Results
* ρ: 4297 kg/m3
* raw total energy: -160.77 eV per formula unit